Here is a relaxed V2NiGe4 crystal from Alexandria via LeMat-Bulk. Energies are from GGA-PBE.

Summary:
- M_tot (μB per formula unit) = 0.00
- final energy (Ry per atom) = -0.4179
- E_form (meV/atom) = 384

Cell lengths 4.5976, 4.5976, 6.9002 Å; angles 70.54, 70.54, 90.00 degrees
Atoms (fractional coordinates):
1 Ni 0.0000 0.0000 0.0000
2 Ge 0.1947 0.1947 0.6107
3 Ge 0.8053 0.8053 0.3893
4 Ge 0.0000 0.5000 0.0000
5 Ge 0.5000 0.0000 0.0000
6 V 0.4050 0.4050 0.1900
7 V 0.5950 0.5950 0.8100

Here is a relaxed NiGe2W crystal from Alexandria via LeMat-Bulk. Energies are from GGA-PBE.

Summary:
- M_tot (μB per formula unit) = 0.00
- final energy (Ry per atom) = -0.4933
- E_form (meV/atom) = 281

Cell lengths 4.3470, 4.3470, 4.3470 Å; angles 60.00, 60.00, 60.00 degrees
Atoms (fractional coordinates):
1 Ni 0.0000 0.0000 0.0000
2 Ge 0.2500 0.2500 0.2500
3 Ge 0.7500 0.7500 0.7500
4 W 0.5000 0.5000 0.5000

Here is a relaxed Ni2GeW crystal from Alexandria via LeMat-Bulk. Energies are from GGA-PBE.

Summary:
- M_tot (μB per formula unit) = 0.00
- final energy (Ry per atom) = -0.5059
- E_form (meV/atom) = 400

Cell lengths 3.6456, 3.6456, 8.9683 Å; angles 78.27, 78.27, 90.00 degrees
Atoms (fractional coordinates):
1 Ni 0.6164 0.1250 0.2500
2 Ni 0.1336 0.6250 0.2500
3 Ni 0.3750 0.3836 0.7500
4 Ni 0.8750 0.8664 0.7500
5 Ge 0.5000 0.5000 0.0000
6 Ge 0.2500 0.7500 0.5000
7 W 0.0000 0.0000 0.0000
8 W 0.7500 0.2500 0.5000